(1)
Crystalline Sr2LiNb at its relaxed geometry. Source: the Alexandria database, functional GGA-PBE.

Cell: 8.7983 8.7983 7.1320 Å, 51.92 51.92 90.00°
With the nearest neighbours (Å) after each atom.
Positions (direct):
1 Sr 0.6072 0.1250 0.2500  2 Li 3.13, 2 Nb 3.34
2 Sr 0.1428 0.6250 0.2500  2 Li 3.13, 2 Nb 3.34
3 Sr 0.3750 0.3928 0.7500  2 Li 3.13, 2 Nb 3.34
4 Sr 0.8750 0.8572 0.7500  2 Li 3.13, 2 Nb 3.34
5 Nb 0.0000 0.0000 0.0000  4 Sr 3.34, 2 Li 3.49
6 Nb 0.7500 0.2500 0.5000  4 Sr 3.34, 2 Li 3.49
7 Li 0.5000 0.5000 0.0000  4 Sr 3.13, 2 Nb 3.49
8 Li 0.2500 0.7500 0.5000  4 Sr 3.13, 2 Nb 3.49

Summary:
**Polymorph energy (0 for the lowest one)**: 240 meV/atom
**DFT total energy**: -2.911 eV per atom
**ΔH_f (0 K)**: 0.93 eV per atom

***

(2)
Crystalline CuMoBr2 at its relaxed geometry. Source: the Alexandria database, functional GGA-PBE.

Cell: 4.9198 4.9198 7.7637 Å, 71.82 71.82 38.34°
With the nearest neighbours (Å) after each atom.
Positions (direct):
1 Br 0.0982 0.0982 0.8959  2 Mo 2.59
2 Br 0.2468 0.2468 0.3552  2 Mo 2.59
3 Cu 0.4372 0.4372 0.6231  3 Mo 2.60-2.62
4 Mo 0.7179 0.7179 0.6258  4 Br 2.59, 3 Cu 2.60-2.62

Summary:
**Raw formation energy**: 242 meV/atom
**Polymorph energy (0 for the lowest one)**: 59 meV/atom
**DFT total energy**: -4.326 eV per atom

***

(3)
Crystalline Rb2Ta3Cl9 at its relaxed geometry. Source: the Alexandria database, functional GGA-PBE.

Cell: 9.9986 10.1708 10.1708 Å, 117.72 103.01 103.01°
With the nearest neighbours (Å) after each atom.
Positions (direct):
1 Rb 0.1783 0.5501 0.2309  5 Cl 3.21-3.53
2 Rb 0.8217 0.7691 0.4499  5 Cl 3.21-3.53
3 Rb 0.8217 0.4499 0.7691  5 Cl 3.21-3.53
4 Rb 0.1783 0.2309 0.5501  5 Cl 3.21-3.53
5 Ta 0.3803 0.1173 0.1173  5 Cl 2.48-2.59
6 Ta 0.6197 0.8827 0.8827  5 Cl 2.48-2.59
7 Ta 0.6378 0.0454 0.2122  5 Cl 2.47-2.64
8 Ta 0.3622 0.7878 0.9546  5 Cl 2.47-2.64
9 Ta 0.3622 0.9546 0.7878  5 Cl 2.47-2.64
10 Ta 0.6378 0.2122 0.0454  5 Cl 2.47-2.64
11 Cl 0.5000 0.1995 0.8005  2 Ta 2.49
12 Cl 0.1830 0.5154 0.8941  1 Ta 2.64
13 Cl 0.1830 0.8941 0.5154  1 Ta 2.64
14 Cl 0.8170 0.4846 0.1059  1 Ta 2.64
15 Cl 0.7686 0.7341 0.7341  1 Ta 2.59
16 Cl 0.2314 0.2659 0.2659  1 Ta 2.59
17 Cl 0.5214 0.3934 0.1924  2 Ta 2.48-2.49
18 Cl 0.4786 0.8076 0.6066  2 Ta 2.48-2.49
19 Cl 0.4786 0.6066 0.8076  2 Ta 2.48-2.49
20 Cl 0.5214 0.1924 0.3934  2 Ta 2.48-2.49
21 Cl 0.1722 0.6907 0.6907  2 Ta 2.49
22 Cl 0.8059 0.9149 0.1139  2 Ta 2.47-2.48
23 Cl 0.8059 0.1139 0.9149  2 Ta 2.47-2.48
24 Cl 0.1941 0.0851 0.8861  2 Ta 2.47-2.48
25 Cl 0.1941 0.8861 0.0851  2 Ta 2.47-2.48
26 Cl 0.5000 0.8005 0.1995  2 Ta 2.49
27 Cl 0.8278 0.3093 0.3093  2 Ta 2.49
28 Cl 0.8170 0.1059 0.4846  1 Ta 2.64

Summary:
**Raw formation energy**: -1494 meV/atom
**DFT total energy**: -5.360 eV per atom

***

(4)
Crystalline SrZn2Br at its relaxed geometry. Source: the Alexandria database, functional GGA-PBE.

Cell: 6.6700 6.6700 4.2844 Å, 71.17 71.17 37.48°
With the nearest neighbours (Å) after each atom.
Positions (direct):
1 Br 0.7500 0.7500 0.7500  4 Sr 3.03
2 Sr 0.2500 0.2500 0.2500  4 Br 3.03
3 Zn 0.9999 0.9999 0.9925  4 Zn 2.98-3.08
4 Zn 0.5001 0.5001 0.5075  4 Zn 2.98-3.08

Summary:
**Raw formation energy**: -520 meV/atom
**Polymorph energy (0 for the lowest one)**: 106 meV/atom
**DFT total energy**: -1.995 eV per atom